# 1
A geometry-optimized Mn4Al19 structure. Source: Alexandria via LeMat-Bulk, functional PBE.

Geometry as CIF:
```
data_Mn4Al19
_space_group_name_H-M_alt 'P m -3'
_space_group_IT_number 200
_space_group_name_Hall '-P 2 2 3'
_cell_length_a 12.709
_cell_length_b 12.709
_cell_length_c 12.709
_cell_angle_alpha 90.00
_cell_angle_beta 90.00
_cell_angle_gamma 90.00
loop_
_atom_site_label
_atom_site_type_symbol
_atom_site_fract_x
_atom_site_fract_y
_atom_site_fract_z
Mn1 Mn 0.000 0.325 0.203
Mn2 Mn 0.172 0.297 0.500
Al1 Al 0.000 0.000 0.381
Al2 Al 0.000 0.171 0.104
Al3 Al 0.000 0.198 0.500
Al4 Al 0.000 0.373 0.390
Al5 Al 0.097 0.500 0.178
Al6 Al 0.112 0.185 0.306
Al7 Al 0.138 0.500 0.500
Al8 Al 0.199 0.381 0.314
Al9 Al 0.331 0.395 0.500
```

Summary:
Formation energy from the elements ... -186 meV per atom



# 2
A geometry-optimized YZr2Hg structure. Source: Alexandria via LeMat-Bulk, functional PBE.

Geometry as CIF:
```
data_YZr2Hg
_space_group_name_H-M_alt 'C m m m'
_space_group_IT_number 65
_space_group_name_Hall '-C 2 2'
_cell_length_a 6.418
_cell_length_b 9.379
_cell_length_c 3.198
_cell_angle_alpha 90.00
_cell_angle_beta 90.00
_cell_angle_gamma 90.00
loop_
_atom_site_label
_atom_site_type_symbol
_atom_site_fract_x
_atom_site_fract_y
_atom_site_fract_z
Y1 Y 0.000 0.000 0.000
Zr1 Zr 0.250 0.250 0.500
Hg1 Hg 0.000 0.500 0.000
```

Summary:
Formation energy from the elements ... 74 meV per atom



# 3
A geometry-optimized BiPb2BrO4 structure. Source: Alexandria via LeMat-Bulk, functional PBE.

Geometry as CIF:
```
data_BiPb2BrO4
_space_group_name_H-M_alt 'P 4/m m m'
_space_group_IT_number 123
_space_group_name_Hall '-P 4 2'
_cell_length_a 3.940
_cell_length_b 3.940
_cell_length_c 9.495
_cell_angle_alpha 90.00
_cell_angle_beta 90.00
_cell_angle_gamma 90.00
loop_
_atom_site_label
_atom_site_type_symbol
_atom_site_fract_x
_atom_site_fract_y
_atom_site_fract_z
Bi1 Bi 0.000 0.000 0.000
Pb1 Pb 0.500 0.500 0.278
Br1 Br 0.000 0.000 0.500
O1 O 0.000 0.500 0.136
```

Summary:
Raw formation energy ... -0.935 eV/atom



# 4
A geometry-optimized GeBI2N structure. Source: Alexandria via LeMat-Bulk, functional PBE.

Geometry as CIF:
```
data_GeBI2N
_space_group_name_H-M_alt 'P 4/m m m'
_space_group_IT_number 123
_space_group_name_Hall '-P 4 2'
_cell_length_a 6.667
_cell_length_b 6.667
_cell_length_c 2.789
_cell_angle_alpha 90.00
_cell_angle_beta 90.00
_cell_angle_gamma 90.00
loop_
_atom_site_label
_atom_site_type_symbol
_atom_site_fract_x
_atom_site_fract_y
_atom_site_fract_z
Ge1 Ge 0.000 0.000 0.000
B1 B 0.500 0.500 0.500
I1 I 0.000 0.500 0.500
N1 N 0.500 0.500 0.000
```

Summary:
Raw formation energy ... 0.229 eV/atom
Polymorph energy (0 for the lowest one) ... 0 meV per atom



# 5
A geometry-optimized Cs2KBr structure. Source: Alexandria via LeMat-Bulk, functional PBE.

Geometry as CIF:
```
data_Cs2KBr
_space_group_name_H-M_alt 'R -3 m'
_space_group_IT_number 166
_space_group_name_Hall '-R 3 2"'
_cell_length_a 5.0400
_cell_length_b 5.0400
_cell_length_c 40.9058
_cell_angle_alpha 90.00
_cell_angle_beta 90.00
_cell_angle_gamma 120.00
loop_
_atom_site_label
_atom_site_type_symbol
_atom_site_fract_x
_atom_site_fract_y
_atom_site_fract_z
Cs1 Cs 0.0000 0.0000 0.1119
K1 K 0.0000 0.0000 0.0000
Br1 Br 0.0000 0.0000 0.5000
```

Summary:
Raw formation energy ... -0.824 eV/atom
Polymorph energy (0 for the lowest one) ... 29 meV per atom



# 6
A geometry-optimized PtS2N structure. Source: Alexandria via LeMat-Bulk, functional PBE.

Geometry as CIF:
```
data_PtS2N
_space_group_name_H-M_alt 'I -4 2 d'
_space_group_IT_number 122
_space_group_name_Hall 'I -4 2bw'
_cell_length_a 5.022
_cell_length_b 5.022
_cell_length_c 10.475
_cell_angle_alpha 90.00
_cell_angle_beta 90.00
_cell_angle_gamma 90.00
loop_
_atom_site_label
_atom_site_type_symbol
_atom_site_fract_x
_atom_site_fract_y
_atom_site_fract_z
Pt1 Pt 0.000 0.000 0.000
S1 S 0.209 0.250 0.625
N1 N 0.000 0.000 0.500
```

Summary:
Raw formation energy ... 0.901 eV/atom



# 7
A geometry-optimized Ca2OsPb structure. Source: Alexandria via LeMat-Bulk, functional PBE.

Geometry as CIF:
```
data_Ca2OsPb
_space_group_name_H-M_alt 'R -3 m'
_space_group_IT_number 166
_space_group_name_Hall '-R 3 2"'
_cell_length_a 3.4029
_cell_length_b 3.4029
_cell_length_c 29.8832
_cell_angle_alpha 90.00
_cell_angle_beta 90.00
_cell_angle_gamma 120.00
loop_
_atom_site_label
_atom_site_type_symbol
_atom_site_fract_x
_atom_site_fract_y
_atom_site_fract_z
Ca1 Ca 0.0000 0.0000 0.2373
Os1 Os 0.0000 0.0000 0.5000
Pb1 Pb 0.0000 0.0000 0.0000
```

Summary:
Formation energy from the elements ... 301 meV per atom



# 8
A geometry-optimized Ru5Pt structure. Source: Alexandria via LeMat-Bulk, functional PBE.

Geometry as CIF:
```
data_Ru5Pt
_space_group_name_H-M_alt 'P 4/m m m'
_space_group_IT_number 123
_space_group_name_Hall '-P 4 2'
_cell_length_a 2.717
_cell_length_b 2.717
_cell_length_c 11.555
_cell_angle_alpha 90.00
_cell_angle_beta 90.00
_cell_angle_gamma 90.00
loop_
_atom_site_label
_atom_site_type_symbol
_atom_site_fract_x
_atom_site_fract_y
_atom_site_fract_z
Ru1 Ru 0.000 0.000 0.000
Ru2 Ru 0.000 0.000 0.324
Ru3 Ru 0.500 0.500 0.166
Pt1 Pt 0.500 0.500 0.500
```

Summary:
Formation energy from the elements ... 69 meV per atom
Polymorph energy (0 for the lowest one) ... 64 meV per atom



Magnetization / μB/f.u.: 0.04, 0.00, 0.00, 0.00, 0.00, 0.00, 0.00, 0.00